# Dy6MgPd2, relaxed, DFT PBE-GGA
data_Dy6MgPd2
_space_group_name_H-M_alt 'I m m m'
_space_group_IT_number 71
_space_group_name_Hall '-I 2 2'
_cell_length_a 9.494
_cell_length_b 9.674
_cell_length_c 10.536
_cell_angle_alpha 90.00
_cell_angle_beta 90.00
_cell_angle_gamma 90.00
loop_
_atom_site_label
_atom_site_type_symbol
_atom_site_fract_x
_atom_site_fract_y
_atom_site_fract_z
Dy1 Dy 0.000 0.197 0.237
Dy2 Dy 0.200 0.500 0.178
Dy3 Dy 0.211 0.316 0.500
Mg1 Mg 0.000 0.000 0.000
Mg2 Mg 0.000 0.000 0.500
Pd1 Pd 0.000 0.339 0.000
Pd2 Pd 0.000 0.500 0.369
# Formation energy   -41.5 kJ per mole of atoms
# DFT total energy   -4.8297 eV/atom



# DyMg4Pd15, relaxed, DFT PBE-GGA
data_DyMg4Pd15
_space_group_name_H-M_alt 'P 4/m m m'
_space_group_IT_number 123
_space_group_name_Hall '-P 4 2'
_cell_length_a 4.011
_cell_length_b 4.011
_cell_length_c 19.930
_cell_angle_alpha 90.00
_cell_angle_beta 90.00
_cell_angle_gamma 90.00
loop_
_atom_site_label
_atom_site_type_symbol
_atom_site_fract_x
_atom_site_fract_y
_atom_site_fract_z
Dy1 Dy 0.000 0.000 0.000
Mg1 Mg 0.000 0.000 0.206
Mg2 Mg 0.000 0.000 0.402
Pd1 Pd 0.000 0.500 0.107
Pd2 Pd 0.000 0.500 0.304
Pd3 Pd 0.000 0.500 0.500
Pd4 Pd 0.500 0.500 0.000
Pd5 Pd 0.500 0.500 0.205
Pd6 Pd 0.500 0.500 0.402
# Formation energy   -52.9 kJ per mole of atoms
# DFT total energy   -4.9916 eV/atom



# Dy3Mg7Pd2, relaxed, DFT PBE-GGA
data_Dy3Mg7Pd2
_space_group_name_H-M_alt 'R -3 m'
_space_group_IT_number 166
_space_group_name_Hall '-R 3 2"'
_cell_length_a 5.8655
_cell_length_b 5.8655
_cell_length_c 27.9157
_cell_angle_alpha 90.00
_cell_angle_beta 90.00
_cell_angle_gamma 120.00
loop_
_atom_site_label
_atom_site_type_symbol
_atom_site_fract_x
_atom_site_fract_y
_atom_site_fract_z
Dy1 Dy 0.0000 0.0000 0.0000
Dy2 Dy 0.0000 0.0000 0.1463
Mg1 Mg 0.0000 0.0000 0.5000
Mg2 Mg 0.0026 0.5013 0.9244
Pd1 Pd 0.0000 0.0000 0.3338
# Formation energy   -27.1 kJ per mole of atoms
# DFT total energy   -3.2271 eV/atom



# DyMg2Pd3, relaxed, DFT PBE-GGA
data_DyMg2Pd3
_space_group_name_H-M_alt 'P 4/m m m'
_space_group_IT_number 123
_space_group_name_Hall '-P 4 2'
_cell_length_a 3.309
_cell_length_b 3.309
_cell_length_c 9.885
_cell_angle_alpha 90.00
_cell_angle_beta 90.00
_cell_angle_gamma 90.00
loop_
_atom_site_label
_atom_site_type_symbol
_atom_site_fract_x
_atom_site_fract_y
_atom_site_fract_z
Dy1 Dy 0.000 0.000 0.000
Mg1 Mg 0.000 0.000 0.344
Pd1 Pd 0.500 0.500 0.186
Pd2 Pd 0.500 0.500 0.500
# Polymorph energy (0 for the lowest one)   0.211 kcal/mol of atoms
# Formation energy   -73.9 kJ per mole of atoms
# DFT total energy   -4.6609 eV/atom



# Dy4MgPd2, relaxed, DFT PBE-GGA
data_Dy4MgPd2
_space_group_name_H-M_alt 'R -3 m'
_space_group_IT_number 166
_space_group_name_Hall '-R 3 2"'
_cell_length_a 4.9123
_cell_length_b 4.9123
_cell_length_c 26.9889
_cell_angle_alpha 90.00
_cell_angle_beta 90.00
_cell_angle_gamma 120.00
loop_
_atom_site_label
_atom_site_type_symbol
_atom_site_fract_x
_atom_site_fract_y
_atom_site_fract_z
Dy1 Dy 0.0000 0.0000 0.1138
Dy2 Dy 0.0000 0.0000 0.2948
Mg1 Mg 0.0000 0.0000 0.5000
Pd1 Pd 0.0000 0.0000 0.4019
# Formation energy   -36.9 kJ per mole of atoms
# DFT total energy   -4.7238 eV/atom



# Dy4MgPd15, relaxed, DFT PBE-GGA
data_Dy4MgPd15
_space_group_name_H-M_alt 'P 4/m m m'
_space_group_IT_number 123
_space_group_name_Hall '-P 4 2'
_cell_length_a 4.090
_cell_length_b 4.090
_cell_length_c 20.463
_cell_angle_alpha 90.00
_cell_angle_beta 90.00
_cell_angle_gamma 90.00
loop_
_atom_site_label
_atom_site_type_symbol
_atom_site_fract_x
_atom_site_fract_y
_atom_site_fract_z
Dy1 Dy 0.000 0.000 0.102
Dy2 Dy 0.000 0.000 0.305
Mg1 Mg 0.000 0.000 0.500
Pd1 Pd 0.000 0.500 0.000
Pd2 Pd 0.000 0.500 0.203
Pd3 Pd 0.000 0.500 0.407
Pd4 Pd 0.500 0.500 0.102
Pd5 Pd 0.500 0.500 0.305
Pd6 Pd 0.500 0.500 0.500
# Formation energy   -76.7 kJ per mole of atoms
# DFT total energy   -5.6898 eV/atom